# 1
Below is crystalline Ca3TbDy3S8 at its relaxed geometry, with properties calculated at the GGA-PBE level.

Unit cell a=7.881 b=7.882 c=7.973 alpha=119.62 beta=90.00 gamma=120.00
Atoms (fractional coordinates):
S 0.754 0.508 0.261
S 0.754 0.007 0.261
S 0.246 0.492 0.739
S 0.246 0.993 0.739
S 0.253 0.007 0.261
S 0.747 0.993 0.739
S 0.748 0.496 0.744
S 0.252 0.504 0.256
Ca 0.500 0.500 0.000
Ca 0.000 0.000 0.000
Ca 0.000 0.500 0.000
Dy 0.500 0.500 0.500
Dy 0.500 0.000 0.500
Dy 0.000 0.500 0.500
Tb 0.000 0.000 0.500

Summary:
Total magnetization   0.00 Bohr magnetons per cell
VASP energy   -5.9199 eV/atom

# 2
Below is crystalline Pu2ZrScS4 at its relaxed geometry, with properties calculated at the GGA-PBE level.

Unit cell a=3.814 b=6.703 c=6.518 alpha=109.58 beta=90.00 gamma=90.00
Atoms (fractional coordinates):
Sc 0.000 0.000 0.000
S 0.000 0.252 0.764
S 0.500 0.243 0.233
S 0.000 0.748 0.236
S 0.500 0.757 0.767
Zr 0.500 0.500 0.000
Pu 0.000 0.500 0.500
Pu 0.500 0.000 0.500

Summary:
Total magnetization   0.24 Bohr magnetons per cell
VASP energy   -9.2276 eV/atom

# 3
Below is crystalline Be2InBr at its relaxed geometry, with properties calculated at the GGA-PBE level.

Unit cell a=7.313 b=7.313 c=7.313 alpha=26.95 beta=26.95 gamma=26.95
Atoms (fractional coordinates):
In 0.750 0.750 0.750
Br 0.250 0.250 0.250
Be 0.998 0.998 0.998
Be 0.502 0.502 0.502

Summary:
ΔE to the lowest computed polymorph   0.2310 eV/atom
Total magnetization   0.00 Bohr magnetons per cell
VASP energy   -2.4817 eV/atom

| no. | ΔE_f (raw) (meV per atom) |
| --- | --- |
| 1 | -2089 |
| 2 | -1721 |
| 3 | 484 |